[1]
RbV2Ga: relaxed, PBE-GGA.

Energy relative to the lowest polymorph listed for this composition   0.000 eV per atom
Crystal system   tetragonal

a = 4.545 Å, b = 4.545 Å, c = 10.299 Å
α = 77.25°, β = 77.25°, γ = 90.00°
Fractional positions:
V  0.375  0.125  0.250
Ga  0.500  0.500  0.000
Rb  0.000  0.000  0.000
V  0.875  0.625  0.750
Ga  0.250  0.750  0.500
Rb  0.750  0.250  0.500
V  0.375  0.625  0.750
V  0.375  0.625  0.250

***

[2]
Rb2VGa2: relaxed, PBE-GGA.

Crystal system   tetragonal

a = 10.668 Å, b = 10.668 Å, c = 3.172 Å
α = 90.00°, β = 90.00°, γ = 90.00°
Each line ends with the local moment (μB).
Fractional positions:
Rb  0.794  0.706  0.000  0.00
Rb  0.206  0.294  0.000  0.00
Rb  0.294  0.794  0.000  0.00
Ga  0.416  0.084  0.500  -0.07
Ga  0.084  0.584  0.500  -0.07
Ga  0.916  0.416  0.500  -0.07
Ga  0.584  0.916  0.500  -0.07
Rb  0.706  0.206  0.000  0.00
V  0.000  0.000  0.000  3.10
V  0.500  0.500  0.000  3.10

***

[3]
Rb2VGa: relaxed, PBE-GGA.

Energy relative to the lowest polymorph listed for this composition   0.296 eV per atom
Crystal system   cubic

a = 6.093 Å, b = 6.093 Å, c = 6.093 Å
α = 60.00°, β = 60.00°, γ = 60.00°
Each line ends with the local moment (μB).
Fractional positions:
Ga  0.500  0.500  0.500  0.17
Rb  0.250  0.250  0.250  0.05
Rb  0.750  0.750  0.750  0.05
V  0.000  0.000  0.000  3.25

***

[4]
RbZrV2Ga: relaxed, PBE-GGA.

Crystal system   tetragonal

a = 4.654 Å, b = 5.278 Å, c = 4.654 Å
α = 90.00°, β = 90.00°, γ = 90.00°
Each line ends with the local moment (μB).
Fractional positions:
Zr  0.500  0.500  0.500  -0.18
Ga  0.000  0.500  0.000  -0.03
V  0.500  0.000  0.000  2.08
V  0.000  0.000  0.500  2.06
Rb  0.000  0.000  0.000  0.14

***

[5]
RbGa2W: relaxed, PBE-GGA.

Energy relative to the lowest polymorph listed for this composition   0.000 eV per atom
Crystal system   tetragonal

a = 6.429 Å, b = 6.429 Å, c = 8.749 Å
α = 68.44°, β = 68.44°, γ = 90.00°
Fractional positions:
Ga  0.873  0.125  0.250
Rb  0.250  0.750  0.500
Ga  0.877  0.625  0.250
Ga  0.875  0.123  0.750
Ga  0.375  0.127  0.750
Rb  0.500  0.500  0.000
W  0.750  0.250  0.500
W  0.000  0.000  0.000

***

[6]
RbGa2W: relaxed, PBE-GGA.

Energy relative to the lowest polymorph listed for this composition   0.303 eV per atom
Crystal system   cubic

a = 5.035 Å, b = 5.035 Å, c = 5.035 Å
α = 60.00°, β = 60.00°, γ = 60.00°
Each line ends with the local moment (μB).
Fractional positions:
W  0.500  0.500  0.500  2.08
Rb  0.000  0.000  0.000  0.04
Ga  0.250  0.250  0.250  0.01
Ga  0.750  0.750  0.750  0.01

***

[7]
RbGaW2: relaxed, PBE-GGA.

Crystal system   tetragonal

a = 4.337 Å, b = 4.337 Å, c = 10.249 Å
α = 77.78°, β = 77.78°, γ = 90.00°
Fractional positions:
W  0.533  0.125  0.250
Rb  0.750  0.250  0.500
W  0.217  0.625  0.250
Ga  0.250  0.750  0.500
W  0.875  0.783  0.750
W  0.375  0.467  0.750
Rb  0.000  0.000  0.000
Ga  0.500  0.500  0.000

***

[8]
Rb2YGaW: relaxed, PBE-GGA.

Crystal system   tetragonal

a = 6.668 Å, b = 5.372 Å, c = 6.668 Å
α = 90.00°, β = 90.00°, γ = 90.00°
Each line ends with the local moment (μB).
Fractional positions:
Y  0.000  0.500  0.000  -0.01
Rb  0.500  0.000  0.000  0.03
Ga  0.500  0.500  0.500  -0.06
Rb  0.000  0.000  0.500  0.03
W  0.000  0.000  0.000  1.79

***

[9]
RbZrGa2W: relaxed, PBE-GGA.

Crystal system   tetragonal

a = 5.213 Å, b = 4.976 Å, c = 5.213 Å
α = 90.00°, β = 90.00°, γ = 90.00°
Fractional positions:
Ga  0.000  0.000  0.500
Rb  0.500  0.500  0.500
Ga  0.500  0.000  0.000
W  0.000  0.000  0.000
Zr  0.000  0.500  0.000

***

[10]
Rb2ZrGaW: relaxed, PBE-GGA.

Crystal system   tetragonal

a = 6.786 Å, b = 6.786 Å, c = 4.917 Å
α = 90.00°, β = 90.00°, γ = 90.00°
Each line ends with the local moment (μB).
Fractional positions:
Zr  0.000  0.000  0.500  -0.19
Ga  0.500  0.500  0.500  -0.06
W  0.000  0.000  0.000  1.14
Rb  0.000  0.500  0.000  0.01
Rb  0.500  0.000  0.000  0.01

***

[11]
Rb2YGa: relaxed, PBE-GGA.

Crystal system   tetragonal

a = 13.203 Å, b = 13.203 Å, c = 9.749 Å
α = 47.38°, β = 47.38°, γ = 90.00°
Fractional positions:
Rb  0.875  0.729  0.750
Rb  0.271  0.625  0.250
Y  0.750  0.250  0.500
Ga  0.500  0.500  0.000
Ga  0.250  0.750  0.500
Y  0.000  0.000  0.000
Rb  0.479  0.125  0.250
Rb  0.375  0.521  0.750

***

[12]
RbY3Ga: relaxed, PBE-GGA.

Energy relative to the lowest polymorph listed for this composition   0.000 eV per atom
Crystal system   cubic

a = 5.722 Å, b = 5.722 Å, c = 5.722 Å
α = 90.00°, β = 90.00°, γ = 90.00°
Fractional positions:
Y  0.000  0.500  0.000
Rb  0.500  0.500  0.500
Y  0.500  0.000  0.000
Y  0.000  0.000  0.500
Ga  0.000  0.000  0.000

***

[13]
RbY2Ga2: relaxed, PBE-GGA.

Energy relative to the lowest polymorph listed for this composition   0.000 eV per atom
Crystal system   tetragonal

a = 9.151 Å, b = 9.151 Å, c = 3.326 Å
α = 90.00°, β = 90.00°, γ = 90.00°
Fractional positions:
Ga  0.668  0.832  0.500
Rb  0.500  0.500  0.000
Ga  0.168  0.668  0.500
Ga  0.832  0.332  0.500
Y  0.870  0.630  0.000
Y  0.130  0.370  0.000
Ga  0.332  0.168  0.500
Y  0.370  0.870  0.000
Y  0.630  0.130  0.000
Rb  0.000  0.000  0.000

***

[14]
RbYGa3: relaxed, PBE-GGA.

Energy relative to the lowest polymorph listed for this composition   0.000 eV per atom
Crystal system   cubic

a = 5.717 Å, b = 5.717 Å, c = 5.717 Å
α = 90.00°, β = 90.00°, γ = 90.00°
Each line ends with the local moment (μB).
Fractional positions:
Rb  0.500  0.500  0.500  0.00
Ga  0.500  0.000  0.000  0.10
Y  0.000  0.000  0.000  0.33
Ga  0.000  0.500  0.000  0.13
Ga  0.000  0.000  0.500  0.06

***

[15]
RbY3Ga: relaxed, PBE-GGA.

Energy relative to the lowest polymorph listed for this composition   1.107 eV per atom
Crystal system   cubic

a = 5.478 Å, b = 5.478 Å, c = 5.478 Å
α = 90.00°, β = 90.00°, γ = 90.00°
Fractional positions:
Ga  0.500  0.500  0.500
Y  0.000  0.500  0.000
Y  0.500  0.000  0.000
Rb  0.000  0.000  0.000
Y  0.000  0.000  0.500

***

[16]
RbYGa3: relaxed, PBE-GGA.

Energy relative to the lowest polymorph listed for this composition   0.716 eV per atom
Crystal system   cubic

a = 5.483 Å, b = 5.483 Å, c = 5.483 Å
α = 90.00°, β = 90.00°, γ = 90.00°
Fractional positions:
Y  0.500  0.500  0.500
Ga  0.500  0.000  0.000
Ga  0.000  0.500  0.000
Rb  0.000  0.000  0.000
Ga  0.000  0.000  0.500

***

[17]
RbZn3Ga3: relaxed, PBE-GGA.

Crystal system   cubic

a = 7.220 Å, b = 7.220 Å, c = 7.220 Å
α = 90.00°, β = 90.00°, γ = 90.00°
Fractional positions:
Ga  0.250  0.500  0.000
Ga  0.000  0.750  0.500
Zn  0.750  0.000  0.500
Rb  0.000  0.000  0.000
Ga  0.500  0.000  0.750
Zn  0.500  0.750  0.000
Zn  0.250  0.000  0.500
Zn  0.000  0.500  0.250
Ga  0.000  0.250  0.500
Ga  0.750  0.500  0.000
Zn  0.500  0.250  0.000
Zn  0.000  0.500  0.750
Ga  0.500  0.000  0.250
Rb  0.500  0.500  0.500

***

[18]
RbZnGa: relaxed, PBE-GGA.

Energy relative to the lowest polymorph listed for this composition   0.074 eV per atom
Crystal system   triclinic

a = 3.835 Å, b = 4.045 Å, c = 12.876 Å
α = 89.77°, β = 98.82°, γ = 90.00°
Fractional positions:
Ga  0.884  0.528  0.454
Zn  0.470  0.524  0.624
Rb  0.763  0.030  0.219
Ga  0.978  0.023  0.639
Zn  0.391  0.028  0.469
Rb  0.094  0.520  0.874

***

[19]
Rb2ZnGa2: relaxed, PBE-GGA.

Energy relative to the lowest polymorph listed for this composition   0.168 eV per atom
Crystal system   tetragonal

a = 7.259 Å, b = 7.259 Å, c = 6.020 Å
α = 90.00°, β = 90.00°, γ = 90.00°
Fractional positions:
Rb  0.687  0.813  0.500
Rb  0.187  0.687  0.500
Ga  0.874  0.626  0.000
Rb  0.313  0.187  0.500
Zn  0.500  0.500  0.000
Ga  0.374  0.874  0.000
Rb  0.813  0.313  0.500
Zn  0.000  0.000  0.000
Ga  0.626  0.126  0.000
Ga  0.126  0.374  0.000

***

[20]
Rb2Zn2Ga: relaxed, PBE-GGA.

Crystal system   tetragonal

a = 7.230 Å, b = 7.230 Å, c = 6.023 Å
α = 90.00°, β = 90.00°, γ = 90.00°
Fractional positions:
Rb  0.181  0.681  0.500
Zn  0.640  0.140  0.000
Rb  0.819  0.319  0.500
Ga  0.500  0.500  0.000
Zn  0.140  0.360  0.000
Ga  0.000  0.000  0.000
Rb  0.319  0.181  0.500
Zn  0.360  0.860  0.000
Zn  0.860  0.640  0.000
Rb  0.681  0.819  0.500

***

no.,DFT formation energy (eV/atom),total energy (eV per cell)
1,1.185,-35.0
2,0.864,-25.6
3,1.039,-9.9
4,2.145,-20.1
5,0.877,-32.9
6,1.180,-15.3
7,1.679,-46.4
8,1.493,-16.9
9,0.468,-26.2
10,1.584,-18.5
11,0.431,-19.4
12,0.241,-22.2
13,-0.182,-41.7
14,0.307,-15.0
15,1.348,-16.6
16,1.024,-11.4
17,0.127,-26.0
18,0.081,-10.1
19,0.142,-17.1
20,0.174,-13.3